A geometry-optimized TbPrSm2S6 structure. Source: the Alexandria database, functional PBE.

Output
Calculated total energy in eV per atom: -6.3883
Symmetry: No. 146
V in Å³/cell: 273.7
E_form (uncorrected) in meV/atom: -2027

Cell lengths 7.102, 7.102, 7.489 Å; angles 61.69, 61.69, 60.00 degrees
Fractional positions:
S 0.407 0.712 0.752
S 0.611 0.216 0.250
S 0.216 0.923 0.250
S 0.128 0.407 0.752
S 0.923 0.611 0.250
S 0.712 0.128 0.752
Sm 0.520 0.520 0.439
Sm 0.017 0.017 0.949
Tb 0.316 0.316 0.053
Pr 0.811 0.811 0.567